First-principles (GGA-PBEsol) data for CdReSeI2 after structural relaxation, as listed in Alexandria.

## Properties
N(E_F) = 3.9 states/eV/cell
formation energy from raw total energies = 1538 meV per atom
crystal system = tetragonal
total magnetization = 5.31 μB per formula unit

Geometry as CIF:
```
data_CdReSeI2
_space_group_name_H-M_alt 'P 4/m m m'
_space_group_IT_number 123
_space_group_name_Hall '-P 4 2'
_cell_length_a 5.545
_cell_length_b 5.545
_cell_length_c 5.501
_cell_angle_alpha 90.00
_cell_angle_beta 90.00
_cell_angle_gamma 90.00
loop_
_atom_site_label
_atom_site_fract_x
_atom_site_fract_y
_atom_site_fract_z
Cd1 0.000 0.000 0.000
Re1 0.500 0.500 0.000
Se1 0.000 0.000 0.500
I1 0.000 0.500 0.500
```